[1]
Computed, not measured: a geometry-optimized Pm2Pr2AlGa4 structure at the PBE level of DFT.

CIF file:
```
data_Pm2Pr2AlGa4
_chemical_formula_sum 'Pm2 Pr2 Al1 Ga4'
_space_group_name_H-M_alt 'P 1'
_space_group_IT_number 1
_space_group_name_Hall 'P 1'
_cell_length_a 6.775
_cell_length_b 6.775
_cell_length_c 6.775
_cell_angle_alpha 96.54
_cell_angle_beta 116.30
_cell_angle_gamma 116.30
loop_
_atom_site_label
_atom_site_type_symbol
_atom_site_fract_x
_atom_site_fract_y
_atom_site_fract_z
_atom_site_occupancy
Ga1 Ga 0.000 0.245 0.755 1
Ga2 Ga 0.491 0.245 0.245 1
Ga3 Ga 0.000 0.755 0.245 1
Ga4 Ga 0.509 0.755 0.755 1
Pr1 Pr 0.500 0.750 0.250 1
Pr2 Pr 0.500 0.250 0.750 1
Pm1 Pm 0.000 0.314 0.314 1
Pm2 Pm 0.000 0.686 0.686 1
Al1 Al 0.000 0.000 0.000 1
```

Calculated volume ... 231 Å³ per cell
Symmetry ... No. 139
DFT total energy ... -4.178 eV per atom
Calculated formation energy ... -299.5 meV/atom

=====

[2]
Computed, not measured: a geometry-optimized PmPrAlGa structure at the PBE level of DFT.

CIF file:
```
data_PmPrAlGa
_chemical_formula_sum 'Pm1 Pr1 Al1 Ga1'
_space_group_name_H-M_alt 'P 1'
_space_group_IT_number 1
_space_group_name_Hall 'P 1'
_cell_length_a 5.253
_cell_length_b 5.253
_cell_length_c 5.253
_cell_angle_alpha 60.00
_cell_angle_beta 60.00
_cell_angle_gamma 60.00
loop_
_atom_site_label
_atom_site_type_symbol
_atom_site_fract_x
_atom_site_fract_y
_atom_site_fract_z
_atom_site_occupancy
Al1 Al 0.750 0.750 0.750 1
Ga1 Ga 0.250 0.250 0.250 1
Pm1 Pm 0.500 0.500 0.500 1
Pr1 Pr 0.000 0.000 0.000 1
```

Distance to the lowest polymorph of the same formula ... 26.9 meV per atom
Calculated volume ... 102 Å³ per cell
Symmetry ... No. 216
DFT total energy ... -4.521 eV per atom
Calculated formation energy ... -446.5 meV/atom

=====

[3]
Computed, not measured: a geometry-optimized PmPrAlGa structure at the PBE level of DFT.

CIF file:
```
data_PmPrAlGa
_chemical_formula_sum 'Pm1 Pr1 Al1 Ga1'
_space_group_name_H-M_alt 'P 1'
_space_group_IT_number 1
_space_group_name_Hall 'P 1'
_cell_length_a 4.502
_cell_length_b 4.217
_cell_length_c 6.139
_cell_angle_alpha 90.00
_cell_angle_beta 111.51
_cell_angle_gamma 90.00
loop_
_atom_site_label
_atom_site_type_symbol
_atom_site_fract_x
_atom_site_fract_y
_atom_site_fract_z
_atom_site_occupancy
Ga1 Ga 0.569 0.500 0.139 1
Pm1 Pm 0.857 0.500 0.714 1
Pr1 Pr 0.141 0.000 0.283 1
Al1 Al 0.432 0.000 0.864 1
```

Distance to the lowest polymorph of the same formula ... 0.0 meV per atom
Calculated volume ... 108 Å³ per cell
Symmetry ... No. 38
DFT total energy ... -4.548 eV per atom
Calculated formation energy ... -473.4 meV/atom

=====

[4]
Computed, not measured: a geometry-optimized Pm3AlGa2Pt9 structure at the PBE level of DFT.

CIF file:
```
data_Pm3AlGa2Pt9
_chemical_formula_sum 'Pm3 Al1 Ga2 Pt9'
_space_group_name_H-M_alt 'P 1'
_space_group_IT_number 1
_space_group_name_Hall 'P 1'
_cell_length_a 6.408
_cell_length_b 6.408
_cell_length_c 9.241
_cell_angle_alpha 90.00
_cell_angle_beta 90.00
_cell_angle_gamma 120.00
loop_
_atom_site_label
_atom_site_type_symbol
_atom_site_fract_x
_atom_site_fract_y
_atom_site_fract_z
_atom_site_occupancy
Pt1 Pt 0.000 0.500 0.000 1
Pt2 Pt 0.139 0.861 0.288 1
Pt3 Pt 0.861 0.721 0.712 1
Pt4 Pt 0.500 0.500 0.000 1
Pt5 Pt 0.139 0.279 0.288 1
Pt6 Pt 0.279 0.139 0.712 1
Pt7 Pt 0.500 0.000 0.000 1
Pt8 Pt 0.721 0.861 0.288 1
Pt9 Pt 0.861 0.139 0.712 1
Ga1 Ga 0.333 0.667 0.181 1
Ga2 Ga 0.667 0.333 0.819 1
Pm1 Pm 0.000 0.000 0.000 1
Pm2 Pm 0.667 0.333 0.271 1
Pm3 Pm 0.333 0.667 0.729 1
Al1 Al 0.000 0.000 0.500 1
```

Calculated volume ... 329 Å³ per cell
Symmetry ... No. 164
DFT total energy ... -5.879 eV per atom
Calculated formation energy ... -651.0 meV/atom

=====

[5]
Computed, not measured: a geometry-optimized Pm2AlGa6Pt structure at the PBE level of DFT.

CIF file:
```
data_Pm2AlGa6Pt
_chemical_formula_sum 'Pm4 Al2 Ga12 Pt2'
_space_group_name_H-M_alt 'P 1'
_space_group_IT_number 1
_space_group_name_Hall 'P 1'
_cell_length_a 6.395
_cell_length_b 6.395
_cell_length_c 12.595
_cell_angle_alpha 75.29
_cell_angle_beta 75.29
_cell_angle_gamma 60.00
loop_
_atom_site_label
_atom_site_type_symbol
_atom_site_fract_x
_atom_site_fract_y
_atom_site_fract_z
_atom_site_occupancy
Al1 Al 0.500 0.500 0.500 1
Al2 Al 0.000 0.000 0.000 1
Ga1 Ga 0.664 0.049 0.624 1
Ga2 Ga 0.336 0.336 0.376 1
Ga3 Ga 0.772 0.772 0.132 1
Ga4 Ga 0.325 0.772 0.132 1
Ga5 Ga 0.675 0.228 0.868 1
Ga6 Ga 0.228 0.228 0.868 1
Ga7 Ga 0.228 0.675 0.868 1
Ga8 Ga 0.951 0.336 0.376 1
Ga9 Ga 0.336 0.951 0.376 1
Ga10 Ga 0.049 0.664 0.624 1
Ga11 Ga 0.664 0.664 0.624 1
Ga12 Ga 0.772 0.325 0.132 1
Pm1 Pm 0.300 0.300 0.099 1
Pm2 Pm 0.700 0.700 0.901 1
Pm3 Pm 0.884 0.884 0.347 1
Pm4 Pm 0.116 0.116 0.653 1
Pt1 Pt 0.432 0.432 0.703 1
Pt2 Pt 0.568 0.568 0.297 1
```

Calculated volume ... 426 Å³ per cell
Symmetry ... No. 166
DFT total energy ... -4.151 eV per atom
Calculated formation energy ... -406.1 meV/atom

=====

[6]
Computed, not measured: a geometry-optimized Pm2AlGaPt2 structure at the PBE level of DFT.

CIF file:
```
data_Pm2AlGaPt2
_chemical_formula_sum 'Pm4 Al2 Ga2 Pt4'
_space_group_name_H-M_alt 'P 1'
_space_group_IT_number 1
_space_group_name_Hall 'P 1'
_cell_length_a 6.096
_cell_length_b 6.114
_cell_length_c 8.111
_cell_angle_alpha 112.14
_cell_angle_beta 112.07
_cell_angle_gamma 90.00
loop_
_atom_site_label
_atom_site_type_symbol
_atom_site_fract_x
_atom_site_fract_y
_atom_site_fract_z
_atom_site_occupancy
Pt1 Pt 0.367 0.609 0.218 1
Pt2 Pt 0.851 0.109 0.218 1
Pt3 Pt 0.149 0.891 0.782 1
Pt4 Pt 0.633 0.391 0.782 1
Al1 Al 0.500 0.250 0.000 1
Al2 Al 0.500 0.750 0.000 1
Pm1 Pm 0.416 0.172 0.344 1
Pm2 Pm 0.927 0.672 0.344 1
Pm3 Pm 0.584 0.828 0.656 1
Pm4 Pm 0.073 0.328 0.656 1
Ga1 Ga 0.000 0.250 0.000 1
Ga2 Ga 0.000 0.750 0.000 1
```

Calculated volume ... 256 Å³ per cell
Symmetry ... No. 72
DFT total energy ... -5.737 eV per atom
Calculated formation energy ... -1011.4 meV/atom

=====

For each record above, in turn, the calculated ρ values are 6.32, 6.20, 5.86, 11.91, 7.25, 10.08 g/cm³.